# Sr2TlSn3Pd4, optimized geometry, DFT PBE-GGA
data_Sr2TlSn3Pd4
_symmetry_space_group_name_H-M 'P 1'
_symmetry_Int_Tables_number 1
_cell_length_a 4.789
_cell_length_b 4.789
_cell_length_c 10.541
_cell_angle_alpha 90.00
_cell_angle_beta 90.00
_cell_angle_gamma 90.00
loop_
_symmetry_equiv_pos_as_xyz
'x,y,z'
loop_
_atom_site_label
_atom_site_type_symbol
_atom_site_fract_x
_atom_site_fract_y
_atom_site_fract_z
_atom_site_occupancy
Sr1 Sr 0.500 0.000 0.242 1
Sr2 Sr 0.000 0.500 0.758 1
Tl1 Tl 0.500 0.500 0.500 1
Sn1 Sn 0.000 0.000 0.500 1
Sn2 Sn 0.500 0.000 0.884 1
Sn3 Sn 0.000 0.500 0.116 1
Pd1 Pd 0.500 0.500 0.000 1
Pd2 Pd 0.000 0.000 0.000 1
Pd3 Pd 0.500 0.000 0.634 1
Pd4 Pd 0.000 0.500 0.366 1
# DOS at the Fermi energy: 0.479 states/eV/atom
# Total energy: -4.498 eV/atom



# Sr2TmSn3Pd4, optimized geometry, DFT PBE-GGA
data_Sr2TmSn3Pd4
_symmetry_space_group_name_H-M 'P 1'
_symmetry_Int_Tables_number 1
_cell_length_a 4.642
_cell_length_b 4.642
_cell_length_c 11.275
_cell_angle_alpha 90.00
_cell_angle_beta 90.00
_cell_angle_gamma 90.00
loop_
_symmetry_equiv_pos_as_xyz
'x,y,z'
loop_
_atom_site_label
_atom_site_type_symbol
_atom_site_fract_x
_atom_site_fract_y
_atom_site_fract_z
_atom_site_occupancy
Sr1 Sr 0.500 0.000 0.231 1
Sr2 Sr 0.000 0.500 0.769 1
Tm1 Tm 0.500 0.500 0.500 1
Sn1 Sn 0.000 0.000 0.500 1
Sn2 Sn 0.500 0.000 0.879 1
Sn3 Sn 0.000 0.500 0.121 1
Pd1 Pd 0.500 0.500 0.000 1
Pd2 Pd 0.000 0.000 0.000 1
Pd3 Pd 0.500 0.000 0.642 1
Pd4 Pd 0.000 0.500 0.358 1
# DOS at the Fermi energy: 0.546 states/eV/atom
# Total energy: -4.840 eV/atom



# Sr2YSn3Pd4, optimized geometry, DFT PBE-GGA
data_Sr2YSn3Pd4
_symmetry_space_group_name_H-M 'P 1'
_symmetry_Int_Tables_number 1
_cell_length_a 4.655
_cell_length_b 4.655
_cell_length_c 11.325
_cell_angle_alpha 90.00
_cell_angle_beta 90.00
_cell_angle_gamma 90.00
loop_
_symmetry_equiv_pos_as_xyz
'x,y,z'
loop_
_atom_site_label
_atom_site_type_symbol
_atom_site_fract_x
_atom_site_fract_y
_atom_site_fract_z
_atom_site_occupancy
Sr1 Sr 0.500 0.000 0.229 1
Sr2 Sr 0.000 0.500 0.771 1
Y1 Y 0.500 0.500 0.500 1
Sn1 Sn 0.000 0.000 0.500 1
Sn2 Sn 0.500 0.000 0.880 1
Sn3 Sn 0.000 0.500 0.120 1
Pd1 Pd 0.500 0.500 0.000 1
Pd2 Pd 0.000 0.000 0.000 1
Pd3 Pd 0.500 0.000 0.645 1
Pd4 Pd 0.000 0.500 0.355 1
# DOS at the Fermi energy: 0.509 states/eV/atom
# Total energy: -5.033 eV/atom



# Sr2YSnPd6, optimized geometry, DFT PBE-GGA
data_Sr2YSnPd6
_symmetry_space_group_name_H-M 'P 1'
_symmetry_Int_Tables_number 1
_cell_length_a 7.210
_cell_length_b 7.210
_cell_length_c 7.210
_cell_angle_alpha 60.00
_cell_angle_beta 60.00
_cell_angle_gamma 90.00
loop_
_symmetry_equiv_pos_as_xyz
'x,y,z'
loop_
_atom_site_label
_atom_site_type_symbol
_atom_site_fract_x
_atom_site_fract_y
_atom_site_fract_z
_atom_site_occupancy
Sr1 Sr 0.250 0.750 0.500 1
Sr2 Sr 0.750 0.250 0.500 1
Y1 Y 0.500 0.500 0.000 1
Sn1 Sn 0.000 0.000 0.000 1
Pd1 Pd 0.249 0.751 0.000 1
Pd2 Pd 0.751 0.751 0.000 1
Pd3 Pd 0.249 0.249 0.503 1
Pd4 Pd 0.751 0.249 0.000 1
Pd5 Pd 0.249 0.249 0.000 1
Pd6 Pd 0.751 0.751 0.497 1
# DOS at the Fermi energy: 0.495 states/eV/atom
# Total energy: -4.656 eV/atom